A relaxed structure of Y3Be, computed with PBEsol.

## Properties
The energy above the lowest structure with this stoichiometry is 509 meV per atom. The symmetry is No. 221. The value obtained for the magnetization is 0.000 μB/f.u.

abc: 5.238 5.238 5.238
angles: 90.00 90.00 90.00
Fractional coordinates of all 4 atoms:
Y 0.000 0.000 0.500
Y 0.000 0.500 0.000
Y 0.500 0.000 0.000
Be 0.000 0.000 0.000

=====

A relaxed structure of In2Hg3, computed with PBEsol.

## Properties
The energy above the lowest structure with this stoichiometry is 0 meV per atom. The symmetry is No. 166. The value obtained for the magnetization is 0.000 μB/f.u.

abc: 11.194 11.194 11.194
angles: 18.28 18.28 18.28
Fractional coordinates of all 5 atoms:
In 0.100 0.100 0.100
In 0.900 0.900 0.900
Hg 0.301 0.301 0.301
Hg 0.500 0.500 0.500
Hg 0.699 0.699 0.699

=====

A relaxed structure of LiLa2Tl, computed with PBEsol.

## Properties
The symmetry is No. 47. The value obtained for the magnetization is 0.001 μB/f.u.

abc: 3.609 4.622 6.939
angles: 90.00 90.00 90.00
Fractional coordinates of all 4 atoms:
Li 0.000 0.000 0.000
La 0.500 0.500 0.269
La 0.500 0.500 0.731
Tl 0.000 0.000 0.500

=====

A relaxed structure of YFeTc3, computed with PBEsol.

## Properties
The symmetry is No. 221. The value obtained for the magnetization is 0.000 μB/f.u.

abc: 4.425 4.425 4.425
angles: 90.00 90.00 90.00
Fractional coordinates of all 5 atoms:
Y 0.000 0.000 0.000
Fe 0.500 0.500 0.500
Tc 0.000 0.500 0.500
Tc 0.500 0.000 0.500
Tc 0.500 0.500 0.000

=====

| no. | ΔH_f (0 K) (eV per atom) |
| --- | --- |
| 1 | 0.7440 |
| 2 | -0.0245 |
| 3 | -0.1913 |
| 4 | 0.7391 |